# 1
## PuPa2Pd9 (GGA-PBE)

Data for an optimized crystal structure of PuPa2Pd9.

a = 4.165 Å, b = 4.165 Å, c = 12.479 Å
α = 90.00°, β = 90.00°, γ = 90.00°
Site moments in Bohr magnetons follow the coordinates.
Element x y z (fractional)
Pa1 0.000 0.000 0.331  0.52
Pa2 0.000 0.000 0.669  0.52
Pd1 0.500 0.000 0.173  -0.01
Pd2 0.000 0.500 0.173  -0.01
Pd3 0.500 0.000 0.500  0.00
Pd4 0.500 0.500 0.000  -0.01
Pd5 0.500 0.000 0.827  -0.01
Pd6 0.500 0.500 0.336  -0.01
Pd7 0.500 0.500 0.664  -0.01
Pu1 0.000 0.000 0.000  5.14
Pd8 0.000 0.500 0.500  0.00
Pd9 0.000 0.500 0.827  -0.01

---

# 2
## PuPaPd4 (GGA-PBE)

Data for an optimized crystal structure of PuPaPd4.

Energy relative to the lowest polymorph listed for this composition: 0.018 eV per atom

a = 5.435 Å, b = 5.435 Å, c = 5.435 Å
α = 60.00°, β = 60.00°, γ = 60.00°
Site moments in Bohr magnetons follow the coordinates.
Element x y z (fractional)
Pa1 0.000 0.000 0.000  1.11
Pd1 0.625 0.625 0.625  -0.01
Pd2 0.625 0.125 0.625  -0.01
Pu1 0.250 0.250 0.250  5.39
Pd3 0.625 0.625 0.125  -0.01
Pd4 0.125 0.625 0.625  -0.01

---

# 3
## Pu4PaPd5 (GGA-PBE)

Data for an optimized crystal structure of Pu4PaPd5.

a = 3.765 Å, b = 3.765 Å, c = 14.322 Å
α = 90.00°, β = 90.00°, γ = 90.00°
Element x y z (fractional)
Pd1 0.500 0.500 0.302
Pd2 0.500 0.500 0.500
Pd3 0.500 0.500 0.897
Pd4 0.500 0.500 0.698
Pu1 0.000 0.000 0.777
Pu2 0.000 0.000 0.380
Pd5 0.500 0.500 0.103
Pu3 0.000 0.000 0.620
Pa1 0.000 0.000 0.000
Pu4 0.000 0.000 0.223

---

# 4
## PuPa2Pd (GGA-PBE)

Data for an optimized crystal structure of PuPa2Pd.

Energy relative to the lowest polymorph listed for this composition: 0.298 eV per atom

a = 3.670 Å, b = 3.670 Å, c = 7.582 Å
α = 75.99°, β = 75.99°, γ = 60.00°
Site moments in Bohr magnetons follow the coordinates.
Element x y z (fractional)
Pa1 0.239 0.239 0.282  -0.06
Pa2 0.092 0.092 0.723  0.00
Pd1 0.665 0.665 0.006  0.00
Pu1 0.504 0.504 0.488  0.89

---

# 5
## PuPaPd3 (GGA-PBE)

Data for an optimized crystal structure of PuPaPd3.

Energy relative to the lowest polymorph listed for this composition: 0.226 eV per atom

a = 3.955 Å, b = 3.955 Å, c = 7.364 Å
α = 105.58°, β = 105.58°, γ = 90.00°
Site moments in Bohr magnetons follow the coordinates.
Element x y z (fractional)
Pu1 0.981 0.981 0.962  5.25
Pd1 0.777 0.277 0.554  -0.03
Pd2 0.423 0.423 0.846  -0.06
Pd3 0.277 0.777 0.554  -0.03
Pa1 0.633 0.633 0.265  0.49

---

# 6
## PuPa2Pd (GGA-PBE)

Data for an optimized crystal structure of PuPa2Pd.

Energy relative to the lowest polymorph listed for this composition: 0.064 eV per atom

a = 4.981 Å, b = 4.981 Å, c = 4.981 Å
α = 60.00°, β = 60.00°, γ = 60.00°
Site moments in Bohr magnetons follow the coordinates.
Element x y z (fractional)
Pd1 0.500 0.500 0.500  0.07
Pu1 0.000 0.000 0.000  5.25
Pa1 0.750 0.750 0.750  0.69
Pa2 0.250 0.250 0.250  0.69

---

# 7
## PuPa6Pd3 (GGA-PBE)

Data for an optimized crystal structure of PuPa6Pd3.

a = 8.109 Å, b = 7.344 Å, c = 7.785 Å
α = 90.00°, β = 93.20°, γ = 90.00°
Site moments in Bohr magnetons follow the coordinates.
Element x y z (fractional)
Pd1 0.532 0.882 0.355  0.01
Pu1 0.500 0.500 0.500  5.05
Pd2 0.032 0.618 0.855  0.01
Pa1 0.327 0.192 0.267  -0.10
Pa2 0.761 0.718 0.135  -0.03
Pa3 0.142 0.365 0.508  -0.19
Pd3 0.000 0.000 0.500  0.00
Pa4 0.173 0.692 0.233  -0.10
Pa5 0.642 0.135 0.008  -0.19
Pd4 0.968 0.382 0.145  0.01
Pa6 0.739 0.218 0.365  -0.03
Pa7 0.239 0.282 0.865  -0.03
Pd5 0.500 0.500 0.000  0.00
Pa8 0.358 0.865 0.992  -0.19
Pu2 0.000 0.000 0.000  5.05
Pd6 0.468 0.118 0.645  0.01
Pa9 0.827 0.308 0.767  -0.10
Pa10 0.858 0.635 0.492  -0.19
Pa11 0.261 0.782 0.635  -0.03
Pa12 0.673 0.808 0.733  -0.10

---

# 8
## PuPaPd3 (GGA-PBE)

Data for an optimized crystal structure of PuPaPd3.

Energy relative to the lowest polymorph listed for this composition: 0.000 eV per atom

a = 4.465 Å, b = 5.375 Å, c = 8.871 Å
α = 82.77°, β = 90.00°, γ = 65.41°
Site moments in Bohr magnetons follow the coordinates.
Element x y z (fractional)
Pd1 0.255 0.490 0.255  0.04
Pd2 0.349 0.301 0.966  -0.04
Pd3 0.853 0.293 0.468  -0.01
Pd4 0.147 0.707 0.532  -0.01
Pd5 0.745 0.510 0.745  0.04
Pa1 0.565 0.871 0.332  0.62
Pu1 0.943 0.113 0.159  5.13
Pd6 0.651 0.699 0.034  -0.04
Pu2 0.057 0.887 0.841  5.13
Pa2 0.435 0.129 0.668  0.62

---

no.,volume (Å³/f.u.),final energy (eV per atom),ΔE_f (meV per atom)
1,216.5,-7.36,-684
2,113.5,-8.00,-564
3,203.1,-9.07,208
4,84.9,-9.57,54
5,106.6,-8.19,-308
6,87.4,-9.81,-180
7,231.5,-8.75,-61
8,95.9,-8.42,-535